# 1
# NaCdHg4Pd2

A relaxed structure of NaCdHg4Pd2 (PBE, Alexandria).

abc: 5.429 5.429 6.202
angles: 90.00 90.00 90.00
Sites, in units of the cell vectors:
Na (0.000, 0.000, 0.000)
Cd (0.000, 0.000, 0.500)
Hg (0.000, 0.500, 0.251)
Hg (0.500, 0.000, 0.749)
Hg (0.500, 0.000, 0.251)
Hg (0.000, 0.500, 0.749)
Pd (0.500, 0.500, 0.225)
Pd (0.500, 0.500, 0.775)

Properties
total energy = -1.720 eV/atom
symmetry = P4/mmm
formation energy = 0.1 eV/f.u.
spin magnetization = 0.0 μB/cell
DOS(E_F) = 0.387 states/eV/atom

# 2
# NaCdHgPd

A relaxed structure of NaCdHgPd (PBE, Alexandria).

abc: 4.659 4.660 5.756
angles: 65.83 114.18 119.83
Sites, in units of the cell vectors:
Na (0.283, 0.214, 0.825)
Cd (0.841, 0.655, 0.500)
Hg (0.064, 0.433, 0.174)
Pd (0.474, 0.023, 0.400)

Properties
E above lowest polymorph = 0.038 eV per atom
total energy = -2.099 eV/atom
symmetry = Cm
formation energy = -0.7 eV/f.u.
spin magnetization = 0.0 μB/cell
DOS(E_F) = 0.330 states/eV/atom

# 3
# Na2Cd2HgPd5

A relaxed structure of Na2Cd2HgPd5 (PBE, Alexandria).

abc: 4.093 9.721 9.721
angles: 90.00 90.00 90.00
Sites, in units of the cell vectors:
Na (0.000, 0.672, 0.172)
Na (0.000, 0.328, 0.828)
Na (0.000, 0.172, 0.328)
Na (0.000, 0.828, 0.672)
Cd (0.000, 0.128, 0.628)
Cd (0.000, 0.872, 0.372)
Cd (0.000, 0.628, 0.872)
Cd (0.000, 0.372, 0.128)
Hg (0.000, 0.000, 0.000)
Hg (0.000, 0.500, 0.500)
Pd (0.500, 0.198, 0.063)
Pd (0.500, 0.802, 0.937)
Pd (0.500, 0.063, 0.802)
Pd (0.500, 0.698, 0.437)
Pd (0.500, 0.937, 0.198)
Pd (0.500, 0.302, 0.563)
Pd (0.500, 0.563, 0.698)
Pd (0.500, 0.437, 0.302)
Pd (0.500, 0.500, 0.000)
Pd (0.500, 0.000, 0.500)

Properties
total energy = -3.264 eV/atom
symmetry = P4/mbm
formation energy = -1.9 eV/f.u.
spin magnetization = 0.0 μB/cell
DOS(E_F) = 0.408 states/eV/atom

# 4
# NaPmCdHg

A relaxed structure of NaPmCdHg (PBE, Alexandria).

abc: 5.276 5.276 5.276
angles: 60.00 60.00 60.00
Sites, in units of the cell vectors:
Na (0.750, 0.750, 0.750)
Cd (0.000, 0.000, 0.000)
Hg (0.500, 0.500, 0.500)
Pm (0.250, 0.250, 0.250)

Properties
total energy = -2.097 eV/atom
symmetry = F-43m
formation energy = -1.1 eV/f.u.
spin magnetization = 0.0 μB/cell
DOS(E_F) = 0.720 states/eV/atom

# 5
# NaPmCd2Hg4

A relaxed structure of NaPmCd2Hg4 (PBE, Alexandria).

abc: 5.082 5.082 9.093
angles: 73.77 73.77 60.00
Sites, in units of the cell vectors:
Na (0.000, 0.000, 0.000)
Pm (0.500, 0.500, 0.500)
Cd (0.749, 0.749, 0.753)
Cd (0.251, 0.251, 0.247)
Hg (0.373, 0.373, 0.881)
Hg (0.880, 0.880, 0.361)
Hg (0.120, 0.120, 0.639)
Hg (0.627, 0.627, 0.119)

Properties
total energy = -1.406 eV/atom
symmetry = R-3m
formation energy = -2.1 eV/f.u.
spin magnetization = 0.0 μB/cell
DOS(E_F) = 0.528 states/eV/atom

# 6
# NaCd2HgPt

A relaxed structure of NaCd2HgPt (PBE, Alexandria).

abc: 5.251 5.251 5.331
angles: 90.00 90.00 90.00
Sites, in units of the cell vectors:
Na (0.500, 0.500, 0.500)
Hg (0.000, 0.000, 0.500)
Pt (0.000, 0.000, 0.000)
Cd (0.000, 0.500, 0.000)
Cd (0.500, 0.000, 0.000)

Properties
E above lowest polymorph = 0.000 eV per atom
total energy = -2.046 eV/atom
symmetry = P4/mmm
formation energy = -0.7 eV/f.u.
spin magnetization = 0.0 μB/cell
DOS(E_F) = 0.296 states/eV/atom